Ho2AuO4F | Alexandria | PBE-GGA | relaxed; symmetry = No. 12; size of the total moment = 0.00 μB/f.u.; V = 101 Å³ per cell; ΔE_f (raw) = -2.401 eV per atom
1.0
5.171 -1.694 0.000
5.171 1.694 0.000
-2.604 0.000 5.792
Ho Au O F
2 1 4 1
Direct
0.187 0.187 0.207
0.813 0.813 0.793
0.000 0.000 0.500
0.170 0.170 0.818
0.358 0.358 0.566
0.642 0.642 0.434
0.830 0.830 0.182
0.500 0.500 0.000



PmThGePd | Alexandria | PBE-GGA | relaxed; symmetry = No. 216; ΔH_f (0 K) = -14.3 kcal/mol of atoms; size of the total moment = 0.75 μB/f.u.; V = 97 Å³ per cell
1.0
0.000 3.651 3.651
3.651 0.000 3.651
3.651 3.651 0.000
Pm Th Ge Pd
1 1 1 1
Direct
0.000 0.000 0.000
0.500 0.500 0.500
0.250 0.250 0.250
0.750 0.750 0.750



La6Tc2GeBr3 | Alexandria | PBE-GGA | relaxed; symmetry = No. 12; size of the total moment = 0.00 μB/f.u.; V = 373 Å³ per cell; ΔE_f (raw) = -0.858 eV per atom
1.0
9.943 -2.136 0.000
9.943 2.136 0.000
-2.863 0.000 8.781
La Tc Ge Br
6 2 1 3
Direct
0.026 0.026 0.244
0.325 0.325 0.444
0.342 0.342 0.878
0.658 0.658 0.122
0.675 0.675 0.556
0.974 0.974 0.756
0.155 0.155 0.336
0.845 0.845 0.664
0.500 0.500 0.000
0.168 0.168 0.838
0.500 0.500 0.500
0.832 0.832 0.162



SiPdO2F | Alexandria | PBE-GGA | relaxed; symmetry = No. 123; size of the total moment = 1.02 μB/f.u.; V = 49 Å³ per cell; ΔE_f (raw) = -1.257 eV per atom
1.0
3.563 0.000 0.000
0.000 3.563 0.000
0.000 0.000 3.854
Si Pd O F
1 1 2 1
Direct
0.000 0.000 0.000
0.500 0.500 0.500
0.000 0.500 0.000
0.500 0.000 0.000
0.000 0.000 0.500



AcGdCu4 | Alexandria | PBE-GGA | relaxed; symmetry = No. 216; ΔH_f (0 K) = -0.7 kcal/mol of atoms; size of the total moment = 7.44 μB/f.u.; V = 114 Å³ per cell
1.0
0.000 3.852 3.852
3.852 0.000 3.852
3.852 3.852 0.000
Ac Gd Cu
1 1 4
Direct
0.000 0.000 0.000
0.250 0.250 0.250
0.133 0.622 0.622
0.622 0.133 0.622
0.622 0.622 0.133
0.622 0.622 0.622



NaPb3I | Alexandria | PBE-GGA | relaxed; symmetry = No. 221; size of the total moment = 0.00 μB/f.u.; energy above the most stable polymorph in this dataset = 0 meV per atom; V = 187 Å³ per cell; ΔE_f (raw) = 0.417 eV per atom
1.0
5.714 0.000 0.000
0.000 5.714 0.000
0.000 0.000 5.714
Na Pb I
1 3 1
Direct
0.000 0.000 0.000
0.000 0.000 0.500
0.000 0.500 0.000
0.500 0.000 0.000
0.500 0.500 0.500



ZrZnCu3 | Alexandria | PBE-GGA | relaxed; symmetry = No. 221; ΔH_f (0 K) = 10.6 kcal/mol of atoms; size of the total moment = 0.00 μB/f.u.; energy above the most stable polymorph in this dataset = 604 meV per atom; V = 85 Å³ per cell
1.0
4.395 0.000 0.000
0.000 4.395 0.000
0.000 0.000 4.395
Zr Zn Cu
1 1 3
Direct
0.000 0.000 0.000
0.500 0.500 0.500
0.000 0.500 0.500
0.500 0.000 0.500
0.500 0.500 0.000



Li5Tb12Nd3 | Alexandria | PBE-GGA | relaxed; symmetry = No. 230; ΔH_f (0 K) = 17.8 kcal/mol of atoms; size of the total moment = 0.00 μB/f.u.; V = 2844 Å³ per cell
1.0
-8.925 8.925 8.925
8.925 -8.925 8.925
8.925 8.925 -8.925
Li Tb Nd
20 48 12
Direct
0.000 0.000 0.000
0.000 0.000 0.500
0.000 0.500 0.000
0.000 0.500 0.500
0.125 0.750 0.875
0.125 0.875 0.250
0.250 0.125 0.875
0.250 0.625 0.375
0.375 0.250 0.625
0.375 0.625 0.750
0.500 0.000 0.000
0.500 0.000 0.500
0.500 0.500 0.000
0.500 0.500 0.500
0.625 0.375 0.250
0.625 0.750 0.375
0.750 0.375 0.625
0.750 0.875 0.125
0.875 0.125 0.750
0.875 0.250 0.125
0.050 0.215 0.122
0.050 0.334 0.928
0.072 0.622 0.406
0.072 0.950 0.666
0.094 0.715 0.666
0.094 0.878 0.428
0.122 0.050 0.215
0.122 0.572 0.906
0.166 0.215 0.594
0.166 0.450 0.572
0.215 0.122 0.050
0.215 0.594 0.166
0.285 0.334 0.906
0.285 0.450 0.378
0.334 0.906 0.285
0.334 0.928 0.050
0.378 0.285 0.450
0.378 0.594 0.928
0.406 0.072 0.622
0.406 0.834 0.785
0.428 0.094 0.878
0.428 0.834 0.550
0.450 0.378 0.285
0.450 0.572 0.166
0.550 0.428 0.834
0.550 0.622 0.715
0.572 0.166 0.450
0.572 0.906 0.122
0.594 0.166 0.215
0.594 0.928 0.378
0.622 0.406 0.072
0.622 0.715 0.550
0.666 0.072 0.950
0.666 0.094 0.715
0.715 0.550 0.622
0.715 0.666 0.094
0.785 0.406 0.834
0.785 0.878 0.950
0.834 0.550 0.428
0.834 0.785 0.406
0.878 0.428 0.094
0.878 0.950 0.785
0.906 0.122 0.572
0.906 0.285 0.334
0.928 0.050 0.334
0.928 0.378 0.594
0.950 0.666 0.072
0.950 0.785 0.878
0.125 0.250 0.375
0.125 0.375 0.750
0.250 0.375 0.125
0.250 0.875 0.625
0.375 0.125 0.250
0.375 0.750 0.125
0.625 0.250 0.875
0.625 0.875 0.750
0.750 0.125 0.375
0.750 0.625 0.875
0.875 0.625 0.250
0.875 0.750 0.625



> Among the records above, which one has the highest V?

Li5Tb12Nd3